ZrMnPO2: relaxed, GGA+U.

```
ZrMnPO2
1.0
4.0359 0.0000 0.0000
0.0000 4.0359 0.0000
0.0000 0.0000 5.5842
Zr Mn P O
1 1 1 2
Direct
0.0000 0.0000 0.0000 Zr
0.5000 0.5000 0.5000 Mn
0.0000 0.0000 0.5000 P
0.0000 0.5000 0.0000 O
0.5000 0.0000 0.0000 O
```

Computed properties:
**Volume**: 91.0 Å³/f.u.
**Polymorph energy (0 for the lowest one)**: 0.0000 eV per atom
**Theoretical density**: 3.82 g/cm³
**Spin magnetization**: 4.0 Bohr magnetons per cell
**Raw total energy**: -38.1 eV per formula unit
**DOS at the Fermi energy**: 2.1 states/eV/cell